# 1
This record from Alexandria via LeMat-Bulk describes crystalline Be2CrP at its relaxed geometry. The functional is GGA-PBE.

a = 3.0414 Å, b = 3.0422 Å, c = 4.4344 Å
α = 90.00°, β = 90.00°, γ = 90.00°
Closest atoms and distances in Å follow each position.
Element x y z (fractional)
1 Cr 0.5000 0.5000 0.2500  2 P 2.22, 8 Be 2.40
2 Be 0.0000 0.0000 0.0080  2 Be 2.15-2.29, 4 Cr 2.40
3 Be 0.0000 0.0000 0.4920  2 Be 2.15-2.29, 4 Cr 2.40
4 P 0.5000 0.5000 0.7500  2 Cr 2.22, 8 Be 2.44

Results
Space group: P4/mmm, No. 123
Formation energy (eV per atom): -0.06
Crystal system: tetragonal

# 2
This record from Alexandria via LeMat-Bulk describes crystalline BeCrP2 at its relaxed geometry. The functional is GGA-PBE.

a = 4.8122 Å, b = 4.8122 Å, c = 4.8122 Å
α = 138.49°, β = 138.49°, γ = 60.16°
Closest atoms and distances in Å follow each position.
Element x y z (fractional)
1 Be 0.5000 0.5000 0.0000  8 P 2.41-2.69, 4 Cr 2.69
2 P 0.2500 0.7500 0.5000  4 Cr 2.41, 4 P 2.69, 4 Be 2.69
3 P 0.0000 0.0000 0.0000  4 Be 2.41, 4 Cr 2.69, 4 P 2.69
4 Cr 0.7500 0.2500 0.5000  8 P 2.41-2.69, 4 Be 2.69

Results
Space group: I-4m2, No. 119
Formation energy (eV per atom): 0.17
Crystal system: tetragonal

# 3
This record from Alexandria via LeMat-Bulk describes crystalline Be2CrP at its relaxed geometry. The functional is GGA-PBE.

a = 4.2767 Å, b = 4.2767 Å, c = 4.1796 Å
α = 86.62°, β = 86.62°, γ = 33.02°
Closest atoms and distances in Å follow each position.
Element x y z (fractional)
1 Be 0.7599 0.7599 0.7615  4 P 2.34-2.52, 5 Be 2.35-2.43, 3 Cr 2.47-2.56
2 P 0.2297 0.2297 0.2896  5 Be 2.25-2.52, 3 Cr 2.33-2.41, 2 P 2.43
3 Cr 0.4897 0.4897 0.4844  3 P 2.33-2.41, 7 Be 2.37-2.56, 2 Cr 2.43
4 Be 0.0208 0.0208 0.9645  1 P 2.25, 5 Be 2.35-2.43, 4 Cr 2.37-2.49

Results
Space group: Cm, No. 8
Formation energy (eV per atom): 0.08
Crystal system: monoclinic

# 4
This record from Alexandria via LeMat-Bulk describes crystalline BeCrP2 at its relaxed geometry. The functional is GGA-PBE.

a = 2.5584 Å, b = 2.5584 Å, c = 8.7544 Å
α = 90.00°, β = 90.00°, γ = 105.28°
Closest atoms and distances in Å follow each position.
Element x y z (fractional)
1 Be 0.0000 0.0000 0.5193  2 P 2.22, 2 Cr 2.37
2 P 0.0000 0.0000 0.9196  2 Cr 2.32, 4 P 2.56
3 Cr 0.5000 0.5000 0.7232  2 P 2.32, 2 Be 2.37, 4 Cr 2.56
4 P 0.5000 0.5000 0.3379  2 Be 2.22

Results
Space group: Cmm2, No. 35
Formation energy (eV per atom): 0.21
Crystal system: orthorhombic

# 5
This record from Alexandria via LeMat-Bulk describes crystalline Be2CrP at its relaxed geometry. The functional is GGA-PBE.

a = 2.4316 Å, b = 2.4316 Å, c = 7.2705 Å
α = 90.00°, β = 90.00°, γ = 99.96°
Closest atoms and distances in Å follow each position.
Element x y z (fractional)
1 Cr 0.5000 0.5000 0.2500  8 Be 2.35-2.56, 4 Cr 2.43
2 Be 0.0000 0.0000 0.0092  4 Cr 2.35-2.56, 4 Be 2.43, 2 P 2.45
3 Be 0.0000 0.0000 0.4908  4 Cr 2.35-2.56, 4 Be 2.43, 2 P 2.45
4 P 0.5000 0.5000 0.7500  4 P 2.43, 8 Be 2.45-2.65

Results
Space group: Cmmm, No. 65
Formation energy (eV per atom): 0.28
Crystal system: orthorhombic

# 6
This record from Alexandria via LeMat-Bulk describes crystalline Be2CrP at its relaxed geometry. The functional is GGA-PBE.

a = 3.8359 Å, b = 3.8359 Å, c = 3.8359 Å
α = 60.00°, β = 60.00°, γ = 60.00°
Closest atoms and distances in Å follow each position.
Element x y z (fractional)
1 Be 0.2500 0.2500 0.2500  4 Cr 2.35, 4 Be 2.35
2 P 0.7500 0.7500 0.7500  4 Cr 2.35, 4 Be 2.35
3 Cr 0.5000 0.5000 0.5000  4 Be 2.35, 4 P 2.35
4 Be 0.0000 0.0000 0.0000  4 P 2.35, 4 Be 2.35

Results
Space group: F-43m, No. 216
Formation energy (eV per atom): 0.23
Crystal system: cubic

# 7
This record from Alexandria via LeMat-Bulk describes crystalline BeCr2P at its relaxed geometry. The functional is GGA-PBE.

a = 3.8753 Å, b = 3.8753 Å, c = 3.8753 Å
α = 60.00°, β = 60.00°, γ = 60.00°
Closest atoms and distances in Å follow each position.
Element x y z (fractional)
1 Cr 0.2500 0.2500 0.2500  4 Cr 2.37, 4 Be 2.37
2 Cr 0.0000 0.0000 0.0000  4 P 2.37, 4 Cr 2.37
3 P 0.7500 0.7500 0.7500  4 Cr 2.37, 4 Be 2.37
4 Be 0.5000 0.5000 0.5000  4 Cr 2.37, 4 P 2.37

Results
Space group: F-43m, No. 216
Formation energy (eV per atom): -0.02
Crystal system: cubic

# 8
This record from Alexandria via LeMat-Bulk describes crystalline Be2CrP at its relaxed geometry. The functional is GGA-PBE.

a = 2.4699 Å, b = 4.0743 Å, c = 4.6569 Å
α = 58.82°, β = 90.00°, γ = 90.00°
Closest atoms and distances in Å follow each position.
Element x y z (fractional)
1 P 0.0000 0.0000 0.5000  6 Be 2.33-2.49, 4 Cr 2.38, 2 P 2.47
2 Be 0.0000 0.0000 0.0000  2 P 2.33, 6 Be 2.38-2.47, 4 Cr 2.49
3 Be 0.5000 0.5000 0.0000  2 Cr 2.33, 6 Be 2.38-2.47, 4 P 2.49
4 Cr 0.5000 0.5000 0.5000  6 Be 2.33-2.49, 4 P 2.38, 2 Cr 2.47

Results
Space group: P2/m, No. 10
Formation energy (eV per atom): 0.08
Crystal system: monoclinic